No. 1
First-principles (GGA-PBE) data for a relaxed structure of PaTcSn, as listed in Alexandria.

Summary:
The value obtained for the spin magnetization is 0.00 μB/f.u. For the formation energy, the calculation gives -380 meV/atom. Its uncorrected energy is -50.01 eV/cell. Its space group is C2/m (12). For the energy above the most stable polymorph in this dataset, the calculation gives 0 meV/atom.

Unit cell a=4.8334 b=6.1945 c=5.0179 alpha=78.98 beta=90.00 gamma=67.06
Closest atoms and distances in Å follow each position.
Fractional positions:
Tc: 0.1918 0.6223 0.3262  2 Pa 2.50-2.65, 2 Sn 2.71
Pa: 0.8648 0.2766 0.1868  2 Tc 2.50-2.65
Sn: 0.5830 0.8401 0.2994  3 Tc 2.71-2.90, 1 Sn 3.02
Sn: 0.4216 0.1631 0.7050  3 Tc 2.71-2.90, 1 Sn 3.02
Pa: 0.1396 0.7267 0.8177  2 Tc 2.50-2.65
Tc: 0.8127 0.3809 0.6784  2 Pa 2.50-2.65, 2 Sn 2.71

---

No. 2
First-principles (GGA-PBE) data for a relaxed structure of PaTcSn, as listed in Alexandria.

Summary:
The value obtained for the spin magnetization is 0.00 μB/f.u. For the formation energy, the calculation gives -80 meV/atom. Its uncorrected energy is -24.10 eV/cell. Its space group is F-43m (216). For the energy above the most stable polymorph in this dataset, the calculation gives 300 meV/atom.

Unit cell a=4.6613 b=4.6613 c=4.6613 alpha=60.00 beta=60.00 gamma=60.00
Closest atoms and distances in Å follow each position.
Fractional positions:
Pa: 0.0000 0.0000 0.0000  4 Tc 2.85
Tc: 0.2500 0.2500 0.2500  4 Sn 2.85, 4 Pa 2.85
Sn: 0.5000 0.5000 0.5000  4 Tc 2.85

---

No. 3
First-principles (GGA-PBE) data for a relaxed structure of Pa2Tc3Sn2, as listed in Alexandria.

Summary:
The value obtained for the spin magnetization is 0.00 μB/f.u. For the formation energy, the calculation gives -272 meV/atom. Its uncorrected energy is -60.00 eV/cell. Its space group is C2/m (12). For the energy above the most stable polymorph in this dataset, the calculation gives 0 meV/atom.

Unit cell a=4.6391 b=5.0873 c=6.9645 alpha=97.15 beta=109.45 gamma=90.00
Closest atoms and distances in Å follow each position.
Fractional positions:
Tc: 0.2093 0.8319 0.4186  1 Pa 2.38
Sn: 0.4065 0.1627 0.8131  5 Tc 2.78-2.90
Pa: 0.1523 0.3679 0.3045  2 Tc 2.38-2.55
Tc: 0.0000 0.0000 0.0000  2 Pa 2.55, 4 Sn 2.80
Pa: 0.8477 0.6321 0.6955  2 Tc 2.38-2.55
Sn: 0.5935 0.8373 0.1869  5 Tc 2.78-2.90
Tc: 0.7907 0.1681 0.5814  1 Pa 2.38

---

No. 4
First-principles (GGA-PBE) data for a relaxed structure of Pa3Tc2Sn, as listed in Alexandria.

Summary:
The value obtained for the spin magnetization is 0.00 μB/f.u. For the formation energy, the calculation gives 74 meV/atom. Its uncorrected energy is -105.56 eV/cell. Its space group is C2/m (12).

Unit cell a=3.2661 b=8.2961 c=10.3627 alpha=97.48 beta=99.07 gamma=90.00
Closest atoms and distances in Å follow each position.
Fractional positions:
Pa: 0.4278 0.5853 0.8557  3 Tc 2.75-2.87
Tc: 0.2893 0.6101 0.5787  4 Pa 2.68-2.87, 1 Sn 2.76, 2 Tc 2.80
Sn: 0.6461 0.0763 0.2922  3 Tc 2.76-2.89
Sn: 0.3539 0.9237 0.7078  3 Tc 2.76-2.89
Tc: 0.7107 0.3899 0.4213  4 Pa 2.68-2.87, 1 Sn 2.76, 2 Tc 2.80
Pa: 0.0715 0.7513 0.1430  1 Tc 2.47
Tc: 0.9626 0.8500 0.9252  3 Pa 2.47-2.75, 1 Tc 2.74
Pa: 0.5722 0.4147 0.1443  3 Tc 2.75-2.87
Pa: 0.7051 0.7340 0.4103  3 Tc 2.68-2.87
Pa: 0.9285 0.2487 0.8570  1 Tc 2.47
Pa: 0.2949 0.2660 0.5897  3 Tc 2.68-2.87
Tc: 0.0374 0.1500 0.0748  3 Pa 2.47-2.75, 1 Tc 2.74

---

No. 5
First-principles (GGA-PBE) data for a relaxed structure of PaTc4Sn, as listed in Alexandria.

Summary:
The value obtained for the spin magnetization is 0.00 μB/f.u. For the formation energy, the calculation gives 35 meV/atom. Its uncorrected energy is -54.75 eV/cell. Its space group is F-43m (216).

Unit cell a=5.3452 b=5.3452 c=5.3452 alpha=60.00 beta=60.00 gamma=60.00
Closest atoms and distances in Å follow each position.
Fractional positions:
Tc: 0.6266 0.6266 0.6266  6 Tc 2.64-2.71
Tc: 0.1201 0.6266 0.6266  6 Tc 2.64-2.71
Tc: 0.6266 0.6266 0.1201  6 Tc 2.64-2.71
Tc: 0.6266 0.1201 0.6266  6 Tc 2.64-2.71
Sn: 0.0000 0.0000 0.0000  12 Tc 3.13, 4 Pa 3.27
Pa: 0.2500 0.2500 0.2500  12 Tc 3.14, 4 Sn 3.27

---

No. 6
First-principles (GGA-PBE) data for a relaxed structure of Pa11Tc4Sn9, as listed in Alexandria.

Summary:
The value obtained for the spin magnetization is 1.46 μB/f.u. For the formation energy, the calculation gives -278 meV/atom. Its uncorrected energy is -188.62 eV/cell. Its space group is Cmmm (65).

Unit cell a=3.9817 b=12.3727 c=12.3727 alpha=110.45 beta=90.00 gamma=90.00
Closest atoms and distances in Å follow each position.
Fractional positions:
Sn: 0.5000 0.5000 0.5000  4 Tc 3.01, 8 Pa 3.28-3.33
Pa: 0.0000 0.8449 0.1551  3 Pa 3.15-3.51, 8 Sn 3.27
Tc: 0.5000 0.5541 0.7572  3 Sn 2.88-3.01, 6 Pa 2.89-3.01
Pa: 0.0000 0.3105 0.3105  4 Tc 2.91
Pa: 0.0000 0.6284 0.3716  4 Tc 3.01, 6 Sn 3.28-3.38
Sn: 0.5000 0.1535 0.6347  1 Tc 2.91, 1 Sn 2.99, 4 Pa 3.15-3.25
Pa: 0.0000 0.6895 0.6895  4 Tc 2.91
Pa: 0.0000 0.9326 0.5751  2 Tc 2.89, 1 Pa 2.90, 4 Sn 3.15-3.23
Sn: 0.5000 0.7807 0.9314  1 Tc 2.88, 1 Sn 3.06
Sn: 0.5000 0.2193 0.0686  1 Tc 2.88, 1 Sn 3.06
Pa: 0.0000 0.5751 0.9326  2 Tc 2.89, 1 Pa 2.90, 4 Sn 3.15-3.23
Sn: 0.5000 0.3653 0.8465  1 Tc 2.91, 1 Sn 2.99, 4 Pa 3.15-3.25
Sn: 0.5000 0.6347 0.1535  1 Tc 2.91, 1 Sn 2.99, 4 Pa 3.15-3.25
Pa: 0.0000 0.0674 0.4249  2 Tc 2.89, 1 Pa 2.90, 4 Sn 3.15-3.23
Pa: 0.0000 0.0000 0.0000  2 Pa 3.15, 8 Sn 3.23
Tc: 0.5000 0.2428 0.4459  3 Sn 2.88-3.01, 6 Pa 2.89-3.01
Sn: 0.5000 0.0686 0.2193  1 Tc 2.88, 1 Sn 3.06
Tc: 0.5000 0.7572 0.5541  3 Sn 2.88-3.01, 6 Pa 2.89-3.01
Sn: 0.5000 0.8465 0.3653  1 Tc 2.91, 1 Sn 2.99, 4 Pa 3.15-3.25
Sn: 0.5000 0.9314 0.7807  1 Tc 2.88, 1 Sn 3.06
Tc: 0.5000 0.4459 0.2428  3 Sn 2.88-3.01, 6 Pa 2.89-3.01
Pa: 0.0000 0.3716 0.6284  4 Tc 3.01, 6 Sn 3.28-3.38
Pa: 0.0000 0.1551 0.8449  3 Pa 3.15-3.51, 8 Sn 3.27
Pa: 0.0000 0.4249 0.0674  2 Tc 2.89, 1 Pa 2.90, 4 Sn 3.15-3.23

---

No. 7
First-principles (GGA-PBE) data for a relaxed structure of Pa5Tc3Sn, as listed in Alexandria.

Summary:
The value obtained for the spin magnetization is 0.00 μB/f.u. For the formation energy, the calculation gives 104 meV/atom. Its uncorrected energy is -163.29 eV/cell. Its space group is C2/m (12).

Unit cell a=7.3065 b=7.3065 c=9.7276 alpha=75.05 beta=75.05 gamma=71.46
Closest atoms and distances in Å follow each position.
Fractional positions:
Pa: 0.9694 0.3660 0.3519  3 Tc 2.63-2.68
Pa: 0.0306 0.6340 0.6481  3 Tc 2.63-2.68
Pa: 0.3660 0.9694 0.3519  3 Tc 2.63-2.68
Pa: 0.5226 0.5226 0.6746  3 Tc 2.62-2.67
Pa: 0.2471 0.2471 0.9315  3 Tc 2.79-3.09
Pa: 0.4774 0.4774 0.3254  3 Tc 2.62-2.67
Sn: 0.9136 0.9136 0.2867  3 Tc 2.59-2.72
Tc: 0.3261 0.3261 0.1798  6 Pa 2.62-2.85
Pa: 0.6340 0.0306 0.6481  3 Tc 2.63-2.68
Pa: 0.7529 0.7529 0.0685  3 Tc 2.79-3.09
Tc: 0.3273 0.3273 0.5963  4 Pa 2.63-2.67, 1 Sn 2.72
Sn: 0.0864 0.0864 0.7133  3 Tc 2.59-2.72
Pa: 0.2983 0.7017 0.0000  3 Tc 2.55-2.83
Tc: 0.6727 0.6727 0.4037  4 Pa 2.63-2.67, 1 Sn 2.72
Tc: 0.0000 0.0000 0.0000  4 Pa 2.55-2.79, 2 Sn 2.65
Tc: 0.6739 0.6739 0.8202  6 Pa 2.62-2.85
Tc: 0.0000 0.0000 0.5000  2 Sn 2.59, 4 Pa 2.66
Pa: 0.7017 0.2983 0.0000  3 Tc 2.55-2.83

---

No. 8
First-principles (GGA-PBE) data for a relaxed structure of PaTcSn, as listed in Alexandria.

Summary:
The value obtained for the spin magnetization is 0.00 μB/f.u. For the formation energy, the calculation gives -2 meV/atom. Its uncorrected energy is -23.87 eV/cell. Its space group is I4mm (107). For the energy above the most stable polymorph in this dataset, the calculation gives 377 meV/atom.

Unit cell a=3.7433 b=3.7433 c=5.8598 alpha=108.63 beta=108.63 gamma=90.00
Closest atoms and distances in Å follow each position.
Fractional positions:
Tc: 0.2233 0.2233 0.4465  4 Pa 2.71, 1 Sn 2.76
Pa: 0.6673 0.6673 0.3346  4 Tc 2.71
Sn: 0.9594 0.9594 0.9188  1 Tc 2.76, 1 Pa 3.05

---

It is found that the density values, taken in the order of the records, are 10.99; 10.38; 10.74; 12.18; 11.41; 11.64; 11.15; 10.15 Mg/m³.